An optimized crystal structure of LiVB4. Source: Alexandria via LeMat-Bulk, functional PBE.

It has space group F-43m (No. 216), with a = 5.5739 Å, b = 5.5739 Å, c = 5.5739 Å, α = 90.00°, β = 90.00° and γ = 90.00°. Symmetry generates all atoms from Li at (0.0000, 0.0000, 0.0000), V at (0.2500, 0.2500, 0.7500) and B at (0.1264, 0.1264, 0.3736).

The total magnetization comes out at 0.00 μB/f.u. As for the calculated formation energy: 0.248 eV/f.u. Its volume is 7.22 A^3/atom. The value obtained for the density of states at the Fermi level is 0.65 states/eV per atom. The value obtained for the theoretical density is 3879 kg/m3.